[1]
First-principles (GGA-PBE) data for PmPdSe after structural relaxation, as listed in Alexandria via LeMat-Bulk.

Cell: 5.7113 6.8052 7.5443 Å, 90.00 111.16 90.00°
Closest atoms and distances in Å follow each position.
Positions (direct):
Pm  0.1844  0.1846  0.3494  4 Se 2.97-3.01, 4 Pd 3.00-3.16
Pm  0.1844  0.3154  0.8494  4 Se 2.97-3.01, 4 Pd 3.00-3.16
Pm  0.8156  0.6846  0.1506  4 Se 2.97-3.01, 4 Pd 3.00-3.16
Pm  0.8156  0.8154  0.6506  4 Se 2.97-3.01, 4 Pd 3.00-3.16
Pd  0.2160  0.6034  0.5305  3 Se 2.64-2.83, 1 Pd 2.73
Pd  0.2160  0.8966  0.0305  3 Se 2.64-2.83, 1 Pd 2.73
Pd  0.7840  0.1034  0.9695  3 Se 2.64-2.83, 1 Pd 2.73
Pd  0.7840  0.3966  0.4695  3 Se 2.64-2.83, 1 Pd 2.73
Se  0.3403  0.5535  0.2022  3 Pd 2.64-2.83
Se  0.3403  0.9465  0.7022  3 Pd 2.64-2.83
Se  0.6597  0.0535  0.2978  3 Pd 2.64-2.83
Se  0.6597  0.4465  0.7978  3 Pd 2.64-2.83

Values from the calculation:
- Distance to the lowest polymorph of the same formula: 0.000 eV/atom

***

[2]
First-principles (GGA-PBE) data for PmPd3Se4 after structural relaxation, as listed in Alexandria via LeMat-Bulk.

Cell: 7.0782 7.0782 7.0782 Å, 90.00 90.00 90.00°
Closest atoms and distances in Å follow each position.
Positions (direct):
Pm  0.0000  0.0000  0.0000  8 Se 3.06
Pm  0.5000  0.5000  0.5000  8 Se 3.06
Pd  0.0000  0.2500  0.5000  4 Se 2.50
Pd  0.0000  0.7500  0.5000  4 Se 2.50
Pd  0.2500  0.5000  0.0000  4 Se 2.50
Pd  0.5000  0.0000  0.2500  4 Se 2.50
Pd  0.5000  0.0000  0.7500  4 Se 2.50
Pd  0.7500  0.5000  0.0000  4 Se 2.50
Se  0.2500  0.2500  0.2500  3 Pd 2.50
Se  0.2500  0.2500  0.7500  3 Pd 2.50
Se  0.2500  0.7500  0.2500  3 Pd 2.50
Se  0.2500  0.7500  0.7500  3 Pd 2.50
Se  0.7500  0.2500  0.2500  3 Pd 2.50
Se  0.7500  0.2500  0.7500  3 Pd 2.50
Se  0.7500  0.7500  0.2500  3 Pd 2.50
Se  0.7500  0.7500  0.7500  3 Pd 2.50

Values from the calculation:
- D(E_F): 5.6 states/eV/cell

***

[3]
First-principles (GGA-PBE) data for PmPdSe2 after structural relaxation, as listed in Alexandria via LeMat-Bulk.

Cell: 4.1777 4.1777 18.5285 Å, 90.00 90.00 120.00°
Closest atoms and distances in Å follow each position.
Positions (direct):
Pm  0.0000  0.0000  0.0000  6 Se 2.96-2.97
Pm  0.3333  0.6667  0.6667  6 Se 2.96-2.97
Pm  0.6667  0.3333  0.3333  6 Se 2.96-2.97
Pd  0.0000  0.0000  0.8111  3 Se 2.60
Pd  0.3333  0.6667  0.4778  3 Se 2.60
Pd  0.6667  0.3333  0.1445  3 Se 2.60
Se  0.0000  0.0000  0.2398  3 Pm 2.97, 3 Pd 2.99
Se  0.0000  0.0000  0.4258  3 Pd 2.60
Se  0.3333  0.6667  0.0924  3 Pd 2.60
Se  0.3333  0.6667  0.9065  3 Pm 2.97, 3 Pd 2.99
Se  0.6667  0.3333  0.5731  3 Pm 2.97, 3 Pd 2.99
Se  0.6667  0.3333  0.7591  3 Pd 2.60

Values from the calculation:
- D(E_F): 15.2 states/eV/cell
- Distance to the lowest polymorph of the same formula: 0.000 eV/atom

***

[4]
First-principles (GGA-PBE) data for Pm6PdSe5 after structural relaxation, as listed in Alexandria via LeMat-Bulk.

Cell: 7.2750 7.2750 7.2758 Å, 99.65 99.65 119.90°
Closest atoms and distances in Å follow each position.
Positions (direct):
Pm  0.0803  0.4116  0.2456  1 Pd 2.93, 5 Se 2.97-2.99
Pm  0.2474  0.2474  0.7499  1 Pd 2.96, 5 Se 2.96-2.99
Pm  0.4116  0.0803  0.2456  1 Pd 2.93, 5 Se 2.97-2.99
Pm  0.5884  0.9197  0.7544  1 Pd 2.93, 5 Se 2.97-2.99
Pm  0.7526  0.7526  0.2501  1 Pd 2.96, 5 Se 2.96-2.99
Pm  0.9197  0.5884  0.7544  1 Pd 2.93, 5 Se 2.97-2.99
Pd  0.0000  0.0000  0.0000  6 Pm 2.93-2.96
Se  0.1705  0.8295  0.5000  6 Pm 2.97-2.99
Se  0.3347  0.6653  0.0000  6 Pm 2.96-2.97
Se  0.5000  0.5000  0.5000  6 Pm 2.99
Se  0.6653  0.3347  0.0000  6 Pm 2.96-2.97
Se  0.8295  0.1705  0.5000  6 Pm 2.97-2.99

Values from the calculation:
- D(E_F): 4.7 states/eV/cell

***

[5]
First-principles (GGA-PBE) data for PmPdSe after structural relaxation, as listed in Alexandria via LeMat-Bulk.

Cell: 3.9025 3.9025 8.8875 Å, 90.00 90.00 90.00°
Closest atoms and distances in Å follow each position.
Positions (direct):
Pm  0.0000  0.0000  0.0000  5 Pd 3.02-3.11, 5 Se 3.04-3.17
Pm  0.5000  0.5000  0.5000  5 Pd 3.02-3.11, 5 Se 3.04-3.17
Pd  0.0000  0.0000  0.6605  1 Se 2.70, 1 Pm 3.02
Pd  0.5000  0.5000  0.1605  1 Se 2.70, 1 Pm 3.02
Se  0.0000  0.0000  0.3569  1 Pd 2.70
Se  0.5000  0.5000  0.8569  1 Pd 2.70

Values from the calculation:
- D(E_F): 2.2 states/eV/cell
- Distance to the lowest polymorph of the same formula: 0.243 eV/atom

***

[6]
First-principles (GGA-PBE) data for PmPdSe after structural relaxation, as listed in Alexandria via LeMat-Bulk.

Cell: 4.3907 4.3907 3.8728 Å, 90.00 90.00 120.00°
Closest atoms and distances in Å follow each position.
Positions (direct):
Pm  0.0000  0.0000  0.0000  6 Se 3.19, 6 Pd 3.19
Pd  0.6667  0.3333  0.5000  3 Se 2.53
Se  0.3333  0.6667  0.5000  3 Pd 2.53

Values from the calculation:
- D(E_F): 1.9 states/eV/cell
- Distance to the lowest polymorph of the same formula: 0.059 eV/atom

***

no.,raw formation energy (eV/atom),total magnetic moment (μB per formula unit)
1,-1.232,0.00
2,-0.802,0.00
3,-0.988,0.00
4,-1.671,0.00
5,-0.989,0.00
6,-1.173,0.00